Crystalline CePaCrS6 at its relaxed geometry. Source: Alexandria, functional PBE.

The structure in CIF format:
```
data_CePaCrS6
_chemical_formula_sum 'Ce1 Pa1 Cr1 S6'
_symmetry_space_group_name_H-M 'P 3 1 2'
_symmetry_Int_Tables_number 149
_cell_length_a 6.4035
_cell_length_b 6.4035
_cell_length_c 5.9383
_cell_angle_alpha 90.00
_cell_angle_beta 90.00
_cell_angle_gamma 120.00
loop_
_symmetry_equiv_pos_as_xyz
'x,y,z'
'-y,x-y,z'
'-x+y,-x,z'
'-y,-x,-z'
'-x+y,y,-z'
'x,x-y,-z'
loop_
_atom_site_label
_atom_site_type_symbol
_atom_site_fract_x
_atom_site_fract_y
_atom_site_fract_z
Ce1 Ce 0.0000 0.0000 0.0000
Pa1 Pa 0.6667 0.3333 0.5000
Cr1 Cr 0.3333 0.6667 0.0000
S1 S 0.0224 0.3705 0.2416
```

- magnetic moment (Bohr magnetons per cell) = 3.0
- formation energy without anion corrections (eV/atom) = -1.240



Crystalline Ce6CrPb2 at its relaxed geometry. Source: Alexandria, functional PBE.

The structure in CIF format:
```
data_Ce6CrPb2
_chemical_formula_sum 'Ce12 Cr2 Pb4'
_symmetry_space_group_name_H-M 'I 4/m m m'
_symmetry_Int_Tables_number 139
_symmetry_space_group_name_Hall '-I 4 2'
_cell_length_a 6.950
_cell_length_b 6.950
_cell_length_c 9.933
_cell_angle_alpha 90.00
_cell_angle_beta 90.00
_cell_angle_gamma 90.00
loop_
_atom_site_label
_atom_site_type_symbol
_atom_site_fract_x
_atom_site_fract_y
_atom_site_fract_z
Ce1 Ce 0.000 0.000 0.244
Ce2 Ce 0.230 0.230 0.500
Cr1 Cr 0.000 0.000 0.000
Pb1 Pb 0.000 0.500 0.250
```

- magnetic moment (Bohr magnetons per cell) = 6.3
- formation energy (eV per formula unit) = -1.5